[1]
16
Lattice="4.482 0.000 0.000 0.000 8.332 0.000 0.000 0.000 5.140" Properties=species:S:1:pos:R:3 comment="Co2NiRh GGA-PBE optimized geometry" crystal_system=orthorhombic final_energy_ev_per_atom=-6.80 pbc="T T T"
Co 1.082 0.019 0.663
Co 1.082 4.147 0.663
Co 1.160 4.185 3.233
Co 1.160 8.313 3.233
Co 3.323 0.019 1.907
Co 3.323 4.147 1.907
Co 3.401 4.185 4.477
Co 3.401 8.313 4.477
Ni 0.365 6.249 4.492
Ni 1.876 2.083 1.922
Ni 2.606 6.249 3.218
Ni 4.117 2.083 0.648
Rh 0.351 6.249 1.961
Rh 1.890 2.083 4.531
Rh 2.592 6.249 0.609
Rh 4.131 2.083 3.179

---

[2]
10
Lattice="3.766 -7.113 0.000 3.766 7.113 0.000 0.000 0.000 2.501" Properties=species:S:1:pos:R:3 comment="CoNi7Rh2 GGA-PBE optimized geometry" crystal_system=orthorhombic final_energy_ev_per_atom=-5.81 pbc="T T T"
Co 0.000 0.000 0.000
Ni 1.701 1.246 1.251
Ni 3.766 4.652 0.000
Ni 1.701 -1.246 1.251
Ni 3.766 0.000 1.251
Ni 5.831 1.246 1.251
Ni 3.766 -4.652 0.000
Ni 5.831 -1.246 1.251
Rh 3.766 2.536 1.251
Rh 3.766 -2.536 1.251

---

[3]
9
Lattice="-1.328 3.586 6.498 1.328 -3.586 6.498 1.328 3.586 -6.498" Properties=species:S:1:pos:R:3 comment="Co2NiRh6 GGA-PBE optimized geometry" crystal_system=orthorhombic final_energy_ev_per_atom=-6.95 pbc="T T T"
Co 0.000 1.243 0.000
Co 0.000 5.929 0.000
Ni 0.000 0.000 6.498
Rh 1.328 0.000 1.848
Rh 1.328 -1.270 4.296
Rh 0.000 2.316 2.202
Rh 1.328 1.270 4.296
Rh 0.000 4.856 2.202
Rh 0.000 3.586 4.650

---

[4]
3
Lattice="-1.308 1.308 5.377 1.308 -1.308 5.377 1.308 1.308 -5.377" Properties=species:S:1:pos:R:3 comment="CoNiRh GGA-PBE optimized geometry" crystal_system=tetragonal final_energy_ev_per_atom=-6.70 e_above_lowest_polymorph_mev_per_atom=6 pbc="T T T"
Co 0.000 0.000 0.000
Ni 0.000 0.000 3.713
Rh 0.000 0.000 7.202

---

[5]
22
Lattice="1.269 -10.058 0.000 1.269 10.058 0.000 0.000 0.000 9.993" Properties=species:S:1:pos:R:3 comment="Co7Ni3Rh GGA-PBE optimized geometry" crystal_system=orthorhombic final_energy_ev_per_atom=-6.64 e_above_lowest_polymorph_mev_per_atom=0 pbc="T T T"
Co 1.269 9.887 6.284
Co 1.269 9.887 8.705
Co 1.269 8.071 2.498
Co 1.269 6.382 5.686
Co 1.269 6.382 9.303
Co 1.269 3.815 6.305
Co 1.269 3.815 8.684
Co 1.269 -3.815 1.309
Co 1.269 -3.815 3.688
Co 1.269 -6.382 0.689
Co 1.269 -6.382 4.307
Co 1.269 -8.071 7.495
Co 1.269 -9.887 1.288
Co 1.269 -9.887 3.709
Ni 1.269 4.586 2.498
Ni 1.269 1.681 5.223
Ni 1.269 1.681 9.766
Ni 1.269 -1.681 0.227
Ni 1.269 -1.681 4.769
Ni 1.269 -4.586 7.495
Rh 1.269 2.084 2.498
Rh 1.269 -2.084 7.495

---

[6]
11
Lattice="-2.016 2.333 7.994 2.016 -2.333 7.994 2.016 2.333 -7.994" Properties=species:S:1:pos:R:3 comment="Co8Ni2Rh GGA-PBE optimized geometry" crystal_system=orthorhombic final_energy_ev_per_atom=-6.46 e_above_lowest_polymorph_mev_per_atom=247 pbc="T T T"
Co 0.000 0.000 1.309
Co 2.016 1.134 -2.318
Co 2.016 0.000 5.198
Co 2.016 1.134 2.318
Co 0.000 1.199 5.676
Co 0.000 2.333 2.796
Co 0.000 1.199 10.312
Co 0.000 0.000 14.680
Ni 0.000 0.000 3.605
Ni 0.000 0.000 12.383
Rh 2.016 0.000 0.000

---

[7]
5
Lattice="2.679 0.000 0.000 0.000 3.757 0.000 0.000 0.000 6.781" Properties=species:S:1:pos:R:3 comment="Co2NiRh2 GGA-PBE optimized geometry" crystal_system=orthorhombic final_energy_ev_per_atom=-6.57 e_above_lowest_polymorph_mev_per_atom=304 pbc="T T T"
Co 0.000 0.000 0.000
Co 1.339 1.878 0.000
Ni 0.000 1.878 3.391
Rh 1.339 0.000 2.094
Rh 1.339 0.000 4.688

---

[8]
12
Lattice="3.511 -4.614 0.000 3.511 4.614 0.000 -0.666 0.000 4.444" Properties=species:S:1:pos:R:3 comment="Co2Ni3Rh GGA-PBE optimized geometry" crystal_system=monoclinic final_energy_ev_per_atom=-6.28 e_above_lowest_polymorph_mev_per_atom=174 pbc="T T T"
Co 1.833 2.632 3.421
Co 4.190 2.632 3.244
Co 2.166 -2.632 1.199
Co 4.523 -2.632 1.022
Ni 1.962 0.350 2.610
Ni 3.344 1.657 1.111
Ni 2.295 -0.350 0.389
Ni 4.061 0.350 4.055
Ni 3.012 -1.657 3.333
Ni 4.394 -0.350 1.833
Rh 3.344 4.056 1.111
Rh 3.012 -4.056 3.333

---

[9]
12
Lattice="5.568 -1.832 0.000 5.568 1.832 0.000 -3.721 0.000 7.346" Properties=species:S:1:pos:R:3 comment="Co2Ni5Rh5 GGA-PBE optimized geometry" crystal_system=monoclinic final_energy_ev_per_atom=-6.62 pbc="T T T"
Co 0.036 0.000 3.658
Co 7.379 0.000 3.688
Ni 3.714 0.000 0.008
Ni 1.846 0.000 5.469
Ni 3.707 0.000 3.673
Ni 5.568 0.000 1.877
Ni 3.700 0.000 7.338
Rh 0.000 0.000 0.000
Rh -1.881 0.000 5.476
Rh 1.843 0.000 1.878
Rh 5.571 0.000 5.467
Rh 9.295 0.000 1.869

---

[10]
9
Lattice="5.833 -2.062 0.000 5.833 2.062 0.000 -1.191 0.000 4.310" Properties=species:S:1:pos:R:3 comment="Co4Ni4Rh GGA-PBE optimized geometry" crystal_system=monoclinic final_energy_ev_per_atom=-6.44 e_above_lowest_polymorph_mev_per_atom=90 pbc="T T T"
Co 1.425 0.000 1.312
Co 2.106 0.000 3.681
Co 8.370 0.000 0.629
Co 9.051 0.000 2.998
Ni -0.215 0.000 3.255
Ni 3.846 0.000 1.805
Ni 6.630 0.000 2.506
Ni 10.691 0.000 1.055
Rh 5.833 0.000 0.000

---

[11]
16
Lattice="8.230 0.000 0.000 0.000 5.051 0.000 0.000 0.000 4.407" Properties=species:S:1:pos:R:3 comment="Co4Ni3Rh GGA-PBE optimized geometry" crystal_system=orthorhombic final_energy_ev_per_atom=-6.63 e_above_lowest_polymorph_mev_per_atom=0 pbc="T T T"
Co 0.000 1.211 0.000
Co 0.000 3.840 0.000
Co 2.058 1.224 1.422
Co 2.058 3.827 1.422
Co 4.115 1.211 0.000
Co 4.115 3.840 0.000
Co 6.173 1.224 2.986
Co 6.173 3.827 2.986
Ni 0.000 0.000 2.204
Ni 2.058 0.000 3.634
Ni 2.058 2.526 3.709
Ni 4.115 0.000 2.204
Ni 6.173 0.000 0.774
Ni 6.173 2.526 0.698
Rh 0.000 2.526 2.204
Rh 4.115 2.526 2.204

---

[12]
11
Lattice="3.877 -4.941 0.000 3.877 4.941 0.000 0.000 0.000 4.044" Properties=species:S:1:pos:R:3 comment="CoNi2Rh8 GGA-PBE optimized geometry" crystal_system=orthorhombic final_energy_ev_per_atom=-6.80 pbc="T T T"
Co 0.000 0.000 0.000
Ni 3.877 1.156 2.022
Ni 3.877 -1.156 2.022
Rh 1.294 1.307 2.022
Rh 3.877 2.438 0.000
Rh 1.294 -1.307 2.022
Rh 2.578 0.000 0.000
Rh 5.176 0.000 0.000
Rh 6.461 1.307 2.022
Rh 3.877 -2.438 0.000
Rh 6.461 -1.307 2.022

---

[13]
14
Lattice="3.084 -3.894 0.000 3.084 3.894 0.000 0.000 0.000 7.284" Properties=species:S:1:pos:R:3 comment="Co2Ni4Rh GGA-PBE optimized geometry" crystal_system=orthorhombic final_energy_ev_per_atom=-6.13 pbc="T T T"
Co 2.847 2.092 0.000
Co 3.322 2.092 3.642
Co 2.847 -2.092 3.642
Co 3.322 -2.092 0.000
Ni 1.542 1.947 2.025
Ni 1.542 1.947 5.259
Ni 1.841 0.099 3.642
Ni 1.841 -0.099 0.000
Ni 1.542 -1.947 1.617
Ni 1.542 -1.947 5.666
Ni 4.328 0.099 0.000
Ni 4.328 -0.099 3.642
Rh 0.000 0.000 1.821
Rh 0.000 0.000 5.463

---

[14]
7
Lattice="6.057 -1.281 0.000 6.057 1.281 0.000 -3.005 0.000 5.530" Properties=species:S:1:pos:R:3 comment="Co2Ni3Rh2 GGA-PBE optimized geometry" crystal_system=monoclinic final_energy_ev_per_atom=-6.49 e_above_lowest_polymorph_mev_per_atom=74 pbc="T T T"
Co 0.650 0.000 1.807
Co 8.458 0.000 3.723
Ni 5.000 0.000 0.425
Ni 4.554 0.000 2.765
Ni 4.109 0.000 5.105
Rh 0.142 0.000 4.286
Rh 8.966 0.000 1.243

---

[15]
18
Lattice="4.093 -5.795 0.000 4.093 5.795 0.000 -0.127 0.000 4.615" Properties=species:S:1:pos:R:3 comment="CoNi6Rh2 GGA-PBE optimized geometry" crystal_system=monoclinic final_energy_ev_per_atom=-6.12 e_above_lowest_polymorph_mev_per_atom=129 pbc="T T T"
Co 3.998 5.424 3.461
Co 4.062 -5.424 1.154
Ni 2.970 3.948 1.794
Ni 2.933 3.083 4.037
Ni 3.391 1.548 2.186
Ni 5.154 3.948 0.514
Ni 5.064 3.083 2.885
Ni 4.733 1.548 0.121
Ni 3.327 -1.548 4.493
Ni 2.996 -3.083 1.730
Ni 2.906 -3.948 4.101
Ni 4.669 -1.548 2.429
Ni 5.128 -3.083 0.578
Ni 5.090 -3.948 2.821
Rh 2.320 0.634 0.014
Rh 2.257 -0.634 2.321
Rh 5.803 0.634 2.293
Rh 5.740 -0.634 4.601

---

[16]
19
Lattice="4.007 2.314 4.063 -4.007 2.314 4.063 0.000 -4.627 4.063" Properties=species:S:1:pos:R:3 comment="Co2Ni15Rh2 GGA-PBE optimized geometry" crystal_system=trigonal final_energy_ev_per_atom=-5.89 e_above_lowest_polymorph_mev_per_atom=0 pbc="T T T"
Co 0.000 0.000 1.137
Co 0.000 0.000 11.051
Ni -4.007 0.000 6.094
Ni -1.239 -2.482 4.063
Ni -2.004 1.157 2.031
Ni -2.769 0.168 4.063
Ni -1.984 -1.146 5.935
Ni 1.239 -2.482 4.063
Ni -1.530 2.314 4.063
Ni 0.000 -2.291 6.254
Ni -1.984 1.146 6.254
Ni 2.004 1.157 2.031
Ni 1.984 -1.146 5.935
Ni 0.000 2.291 5.935
Ni 2.769 0.168 4.063
Ni 1.530 2.314 4.063
Ni 1.984 1.146 6.254
Rh 0.000 0.000 3.766
Rh 0.000 0.000 8.423

---

[17]
6
Lattice="2.262 -1.305 0.000 2.262 1.305 0.000 -0.022 0.000 12.465" Properties=species:S:1:pos:R:3 comment="CoNiRh GGA-PBE optimized geometry" crystal_system=monoclinic final_energy_ev_per_atom=-6.67 e_above_lowest_polymorph_mev_per_atom=30 pbc="T T T"
Co 0.753 0.000 0.972
Co 3.750 0.000 11.493
Ni 2.257 0.000 2.961
Ni 2.246 0.000 9.504
Rh 0.742 0.000 7.365
Rh 3.760 0.000 5.100

---

[18]
10
Lattice="6.796 0.000 0.000 0.000 6.796 0.000 0.000 0.000 2.594" Properties=species:S:1:pos:R:3 comment="Co2Ni2Rh GGA-PBE optimized geometry" crystal_system=tetragonal final_energy_ev_per_atom=-6.46 e_above_lowest_polymorph_mev_per_atom=153 pbc="T T T"
Co 0.822 2.576 0.000
Co 2.576 5.973 0.000
Co 4.220 0.822 0.000
Co 5.973 4.220 0.000
Ni 1.189 4.587 1.297
Ni 2.208 1.189 1.297
Ni 4.587 5.606 1.297
Ni 5.606 2.208 1.297
Rh 0.000 0.000 0.000
Rh 3.398 3.398 0.000

---

[19]
5
Lattice="4.422 0.000 0.000 0.000 4.422 0.000 0.000 0.000 4.422" Properties=species:S:1:pos:R:3 comment="CoNiRh3 GGA-PBE optimized geometry" crystal_system=cubic final_energy_ev_per_atom=-5.73 e_above_lowest_polymorph_mev_per_atom=1085 pbc="T T T"
Co 0.000 0.000 0.000
Ni 2.211 2.211 2.211
Rh 0.000 0.000 2.211
Rh 0.000 2.211 0.000
Rh 2.211 0.000 0.000

---

[20]
6
Lattice="4.218 -1.852 0.000 4.218 1.852 0.000 -1.714 0.000 5.096" Properties=species:S:1:pos:R:3 comment="CoNiRh4 GGA-PBE optimized geometry" crystal_system=monoclinic final_energy_ev_per_atom=-7.00 e_above_lowest_polymorph_mev_per_atom=0 pbc="T T T"
Co 0.000 0.000 0.000
Ni -0.857 0.000 2.548
Rh 2.539 0.000 0.851
Rh 1.704 0.000 3.412
Rh 5.018 0.000 1.684
Rh 4.182 0.000 4.245

---

Number 1: energy of formation from the pure elements 0.03 eV/atom. Number 2: energy of formation from the pure elements 0.42 eV/atom. Number 3: energy of formation from the pure elements 0.17 eV/atom. Number 4: energy of formation from the pure elements 0.05 eV/atom. Number 5: energy of formation from the pure elements 0.13 eV/atom. Number 6: energy of formation from the pure elements 0.43 eV/atom. Number 7: energy of formation from the pure elements 0.37 eV/atom. Number 8: energy of formation from the pure elements 0.20 eV/atom. Number 9: energy of formation from the pure elements 0.04 eV/atom. Number 10: energy of formation from the pure elements 0.10 eV/atom. Number 11: energy of formation from the pure elements 0.01 eV/atom. Number 12: energy of formation from the pure elements 0.25 eV/atom. Number 13: energy of formation from the pure elements 0.25 eV/atom. Number 14: energy of formation from the pure elements 0.11 eV/atom. Number 15: energy of formation from the pure elements 0.15 eV/atom. Number 16: energy of formation from the pure elements 0.19 eV/atom. Number 17: energy of formation from the pure elements 0.07 eV/atom. Number 18: energy of formation from the pure elements 0.17 eV/atom. Number 19: energy of formation from the pure elements 1.26 eV/atom. Number 20: energy of formation from the pure elements 0.05 eV/atom.